The following is a GGA-PBE calculation of MgAsCl2 after structural relaxation, from the Alexandria database.

Computed properties:
raw formation energy	-0.688	eV per atom
theoretical density	2.5	g/cm3
total magnetization	0.0001	μB per atom

Unit cell a=3.075 b=3.075 c=11.947 alpha=90.00 beta=90.00 gamma=90.00
Space group P4/mmm (No. 123)
One atom of each set of equivalent atoms:
1 Mg 0.000 0.000 0.000
2 As 0.000 0.000 0.500
3 Cl 0.500 0.500 0.127